Record 1
A plane-wave DFT calculation with PBE was carried out for crystalline Ta2TiTe at its relaxed geometry.

## Properties
Calculated density   11.0 g/cm3
Space-group type   I-42d, No. 122
ΔE_f (raw)   8.33 kcal/mol of atoms

Lattice parameters (Å, degrees): 4.014 4.014 10.450 78.93 78.93 90.00
Sites, in units of the cell vectors:
Te: 0.000 0.000 0.000
Te: 0.750 0.250 0.500
Ti: 0.500 0.500 0.000
Ti: 0.250 0.750 0.500
Ta: 0.624 0.125 0.250
Ta: 0.126 0.625 0.250
Ta: 0.375 0.376 0.750
Ta: 0.875 0.874 0.750

Record 2
A plane-wave DFT calculation with PBE was carried out for crystalline AcNd6Sc at its relaxed geometry.

## Properties
Energy   -38.68 eV/cell
Calculated density   6.8 g/cm3
Space-group type   P4/mmm, No. 123

Lattice parameters (Å, degrees): 5.196 5.196 10.352 90.00 90.00 90.00
Sites, in units of the cell vectors:
Ac: 0.000 0.000 0.000
Nd: 0.500 0.500 0.000
Nd: 0.500 0.500 0.500
Nd: 0.500 0.000 0.263
Nd: 0.500 0.000 0.737
Nd: 0.000 0.500 0.263
Nd: 0.000 0.500 0.737
Sc: 0.000 0.000 0.500

Record 3
A plane-wave DFT calculation with PBE was carried out for crystalline Ti2BeCdCo at its relaxed geometry.

## Properties
Energy   -26.27 eV/cell
Calculated density   5.5 g/cm3
Space-group type   P4/mmm, No. 123

Lattice parameters (Å, degrees): 4.477 4.174 4.477 90.00 90.00 90.00
Sites, in units of the cell vectors:
Be: 0.000 0.500 0.000
Ti: 0.000 0.000 0.500
Ti: 0.500 0.000 0.000
Co: 0.000 0.000 0.000
Cd: 0.500 0.500 0.500

Record 4
A plane-wave DFT calculation with PBE was carried out for crystalline NaIn2Rh at its relaxed geometry.

## Properties
Energy   -14.73 eV/cell
Calculated density   6.1 g/cm3
Space-group type   R3m, No. 160

Lattice parameters (Å, degrees): 4.460 4.460 6.219 68.99 68.99 60.00
Sites, in units of the cell vectors:
Na: 0.493 0.493 0.520
In: 0.055 0.055 0.836
In: 0.279 0.279 0.163
Rh: 0.673 0.673 0.982

Record 5
A plane-wave DFT calculation with PBE was carried out for crystalline Sb3PbSe at its relaxed geometry.

## Properties
Calculated density   5.7 g/cm3
Space-group type   Pm-3m, No. 221
ΔE_f (raw)   25.30 kcal/mol of atoms

Lattice parameters (Å, degrees): 5.753 5.753 5.753 90.00 90.00 90.00
Sites, in units of the cell vectors:
Pb: 0.000 0.000 0.000
Sb: 0.000 0.500 0.000
Sb: 0.000 0.000 0.500
Sb: 0.500 0.000 0.000
Se: 0.500 0.500 0.500

Record 6
A plane-wave DFT calculation with PBE was carried out for crystalline ErTm5Pd6 at its relaxed geometry.

## Properties
Energy   -69.32 eV/cell
Calculated density   11.0 g/cm3
Space-group type   Immm, No. 71

Lattice parameters (Å, degrees): 4.946 6.798 8.521 113.51 106.87 90.00
Sites, in units of the cell vectors:
Tm: 0.667 0.167 0.333
Tm: 0.333 0.333 0.667
Tm: 0.000 0.500 0.000
Tm: 0.667 0.667 0.333
Tm: 0.333 0.833 0.667
Pd: 0.833 0.582 0.665
Pd: 0.833 0.083 0.665
Pd: 0.500 0.749 0.000
Pd: 0.500 0.251 0.000
Pd: 0.167 0.917 0.335
Pd: 0.167 0.418 0.335
Er: 0.000 0.000 0.000

Record 7
A plane-wave DFT calculation with PBE was carried out for crystalline Pm4In2Ag3 at its relaxed geometry.

## Properties
Energy   -35.98 eV/cell
Calculated density   8.0 g/cm3
Space-group type   C2/m, No. 12

Lattice parameters (Å, degrees): 5.030 5.771 9.334 76.07 90.00 64.16
Sites, in units of the cell vectors:
Pm: 0.640 0.720 0.897
Pm: 0.062 0.876 0.349
Pm: 0.938 0.124 0.651
Pm: 0.360 0.280 0.103
In: 0.270 0.461 0.732
In: 0.730 0.539 0.268
Ag: 0.364 0.272 0.436
Ag: 0.000 0.000 0.000
Ag: 0.636 0.728 0.564

Record 8
A plane-wave DFT calculation with PBE was carried out for crystalline KP2S2 at its relaxed geometry.

## Properties
Calculated density   2.5 g/cm3
Space-group type   P4/mmm, No. 123
ΔE_f (raw)   11.67 kcal/mol of atoms

Lattice parameters (Å, degrees): 4.716 4.716 4.951 90.00 90.00 90.00
Sites, in units of the cell vectors:
P: 0.000 0.500 0.000
P: 0.500 0.000 0.000
K: 0.500 0.500 0.500
S: 0.000 0.000 0.000
S: 0.000 0.000 0.500